CsCuSi2 after structural relaxation. Source: Alexandria via LeMat-Bulk, functional PBE-GGA.

a b c (Å): 4.431 5.824 8.554
angles (deg): 92.77 91.02 98.90
Fractional positions:
Cu 0.866 0.353 0.943
Cs 0.716 0.812 0.649
Si 0.790 0.681 0.150
Si 0.354 0.279 0.828
Cs 0.176 0.295 0.362
Si 0.309 0.626 0.000
Si 0.583 0.034 0.066
Cu 0.078 0.976 0.990

ΔE to the lowest computed polymorph: 71 meV per atom
space group: P1, No. 1
total energy: -30.91 eV per cell
ρ: 3.9 g/cm3
formation energy without anion corrections: 86 meV per atom

=====

Cs4Rb3Ag2 after structural relaxation. Source: Alexandria via LeMat-Bulk, functional PBE-GGA.

a b c (Å): 9.379 11.979 13.575
angles (deg): 116.18 80.54 90.00
Fractional positions:
Cs 0.902 0.914 0.242
Rb 0.895 0.269 0.175
Ag 0.846 0.012 0.547
Ag 0.154 0.988 0.453
Rb 0.605 0.093 0.825
Cs 0.402 0.328 0.242
Rb 0.750 0.508 0.000
Ag 0.654 0.466 0.453
Cs 0.598 0.672 0.758
Cs 0.992 0.320 0.548
Cs 0.098 0.086 0.758
Cs 0.492 0.228 0.548
Rb 0.395 0.907 0.175
Rb 0.250 0.492 0.000
Ag 0.346 0.534 0.547
Rb 0.105 0.731 0.825
Cs 0.008 0.680 0.452
Cs 0.508 0.772 0.452

DFT formation energy: 0.0345 eV per atom
space group: C2/c, No. 15
total energy: -23.42 eV per cell
ρ: 2.5 g/cm3

=====

Tb3DyY4 after structural relaxation. Source: Alexandria via LeMat-Bulk, functional PBE-GGA.

a b c (Å): 5.639 3.557 13.465
angles (deg): 89.97 102.09 90.00
Fractional positions:
Dy 0.500 0.000 0.000
Tb 0.845 0.000 0.690
Tb 0.000 0.500 0.000
Y 0.277 0.499 0.554
Y 0.723 0.501 0.446
Y 0.603 0.500 0.206
Tb 0.155 0.000 0.310
Y 0.397 0.500 0.794

DFT formation energy: 0.2013 eV per atom
ΔE to the lowest computed polymorph: 196 meV per atom
space group: Cmmm, No. 65
total energy: -42.74 eV per cell
ρ: 6.3 g/cm3

=====

HoCoPH after structural relaxation. Source: Alexandria via LeMat-Bulk, functional PBE-GGA.

a b c (Å): 3.753 3.753 7.317
angles (deg): 90.00 90.00 90.00
Each line ends with the local moment (μB).
Fractional positions:
P 0.500 0.000 0.165  0.01
H 0.500 0.500 0.500  0.00
Ho 0.500 0.000 0.673  0.01
P 0.000 0.500 0.835  0.01
H 0.000 0.000 0.500  0.00
Ho 0.000 0.500 0.327  0.01
Co 0.000 0.000 0.000  0.49
Co 0.500 0.500 0.000  0.49

space group: P4/nmm, No. 129
total energy: -48.66 eV per cell
ρ: 8.2 g/cm3

=====

SmDy2Tl after structural relaxation. Source: Alexandria via LeMat-Bulk, functional PBE-GGA.

a b c (Å): 3.658 3.658 10.965
angles (deg): 80.40 80.40 60.00
Fractional positions:
Sm 0.500 0.500 0.500
Dy 0.077 0.077 0.769
Tl 0.667 0.667 0.000
Dy 0.256 0.256 0.231

DFT formation energy: -0.1033 eV per atom
ΔE to the lowest computed polymorph: 81 meV per atom
space group: R3m, No. 160
total energy: -16.70 eV per cell
ρ: 9.1 g/cm3

=====

LiYCdPd after structural relaxation. Source: Alexandria via LeMat-Bulk, functional PBE-GGA.

a b c (Å): 4.825 4.825 4.825
angles (deg): 60.00 60.00 60.00
Fractional positions:
Pd 0.500 0.500 0.500
Li 0.000 0.000 0.000
Cd 0.250 0.250 0.250
Y 0.750 0.750 0.750

DFT formation energy: -0.4736 eV per atom
space group: F-43m, No. 216
total energy: -16.38 eV per cell
ρ: 6.6 g/cm3

=====

ThIn3Pd12 after structural relaxation. Source: Alexandria via LeMat-Bulk, functional PBE-GGA.

a b c (Å): 4.120 4.120 16.089
angles (deg): 90.00 90.00 90.00
Fractional positions:
Pd 0.500 0.500 0.746
Pd 0.500 0.500 0.254
In 0.000 0.000 0.258
In 0.000 0.000 0.742
Pd 0.000 0.500 0.131
Pd 0.500 0.000 0.131
Pd 0.000 0.500 0.869
Pd 0.500 0.000 0.622
Th 0.000 0.000 0.000
Pd 0.000 0.500 0.378
Pd 0.500 0.000 0.378
Pd 0.000 0.500 0.622
Pd 0.500 0.000 0.869
In 0.000 0.000 0.500
Pd 0.500 0.500 0.500
Pd 0.500 0.500 0.000

DFT formation energy: -0.5738 eV per atom
space group: P4/mmm, No. 123
total energy: -87.13 eV per cell
ρ: 11.3 g/cm3

=====

Pr2AlSi after structural relaxation. Source: Alexandria via LeMat-Bulk, functional PBE-GGA.

a b c (Å): 4.108 4.108 10.118
angles (deg): 78.29 78.29 60.00
Fractional positions:
Al 0.000 0.000 0.000
Si 0.500 0.500 0.500
Pr 0.890 0.890 0.331
Pr 0.110 0.110 0.669

space group: R-3m, No. 166
total energy: -18.14 eV per cell
ρ: 3.9 g/cm3
formation energy without anion corrections: 145 meV per atom

=====

LaCeUN3 after structural relaxation. Source: Alexandria via LeMat-Bulk, functional PBE-GGA.

a b c (Å): 3.426 6.508 9.712
angles (deg): 103.70 90.00 90.00
Each line ends with the local moment (μB).
Fractional positions:
La 0.750 0.804 0.759  0.06
Ce 0.250 0.220 0.614  0.66
N 0.750 0.444 0.172  -0.04
U 0.750 0.342 0.928  1.57
U 0.250 0.658 0.072  1.57
N 0.250 0.556 0.828  -0.04
La 0.250 0.196 0.241  0.06
Ce 0.750 0.780 0.386  0.66
N 0.250 0.114 0.862  -0.05
N 0.750 0.176 0.449  -0.02
N 0.250 0.824 0.551  -0.02
N 0.750 0.886 0.138  -0.05

space group: P2_1/m, No. 11
total energy: -108.31 eV per cell
ρ: 8.8 g/cm3
formation energy without anion corrections: -1172 meV per atom